The following is a DFT calculation (PBE) of a relaxed KGdGa4 crystal.

The structure in extended XYZ format:
```
6
Lattice="-5.141 2.154 -1.114 -4.575 -3.371 0.094 -3.828 0.520 4.169" Properties=species:S:1:pos:R:3 pbc="T T T"
Gd 0.000 0.000 0.000
K -3.386 -0.174 0.787
Ga -8.474 -0.436 1.970
Ga -6.550 -0.698 -0.125
Ga -5.890 -1.518 2.530
Ga -6.174 1.258 1.923
```

Summary:
ΔE_f: -0.238 eV/atom